(P)
Entry from Alexandria via LeMat-Bulk: a relaxed GeRuRh crystal (PBE).

Values from the calculation:
DOS at the Fermi energy   1.12 states/eV per atom
Crystal system   tetragonal

Unit cell a=2.952 b=2.952 c=20.581 alpha=90.00 beta=90.00 gamma=90.00
Space group I4/mmm (No. 139)
Unique sites:
Ge  0.000  0.000  0.129 [4 per cell]
Ru  0.000  0.000  0.442 [4 per cell]
Rh  0.000  0.000  0.298 [4 per cell]

=====

(Q)
Entry from Alexandria via LeMat-Bulk: a relaxed GeRuRh crystal (PBE).

Values from the calculation:
DOS at the Fermi energy   0.96 states/eV per atom
Crystal system   monoclinic

Unit cell a=4.411 b=2.917 c=6.816 alpha=90.00 beta=99.52 gamma=90.00
Space group P2_1/m (No. 11)
Unique sites:
Ge  0.187  0.250  0.165 [2 per cell]
Ru  0.237  0.750  0.460 [2 per cell]
Rh  0.314  0.250  0.825 [2 per cell]

=====

Bottom line: (Q), by a margin of 0.208 eV/atom.

=====

(P)
Entry from Alexandria via LeMat-Bulk: a relaxed K2OsW crystal (PBE).

Values from the calculation:
DOS at the Fermi energy   1.08 states/eV per atom
Crystal system   tetragonal

Unit cell a=2.695 b=2.695 c=11.898 alpha=90.00 beta=90.00 gamma=90.00
Space group P4/mmm (No. 123)
Unique sites:
K  0.000  0.000  0.237 [2 per cell]
Os  0.500  0.500  0.000 [1 per cell]
W  0.500  0.500  0.500 [1 per cell]

=====

(Q)
Entry from Alexandria via LeMat-Bulk: a relaxed K2OsW crystal (PBE).

Values from the calculation:
DOS at the Fermi energy   0.53 states/eV per atom
Crystal system   orthorhombic

Unit cell a=3.586 b=6.104 c=11.553 alpha=90.00 beta=90.00 gamma=90.00
Space group Imm2 (No. 44)
Unique sites:
K  0.000  0.000  0.000 [2 per cell]
K  0.000  0.500  0.213 [2 per cell]
Os  0.000  0.500  0.780 [2 per cell]
W  0.000  0.000  0.408 [2 per cell]

=====

Bottom line: (Q), by a margin of 0.371 eV/atom.